(i)
## MgPtCl (PBE)

Data for crystalline MgPtCl at its relaxed geometry.

Cell: 4.4378 4.4378 4.4378 Å, 60.00 60.00 60.00°
Fractional positions:
Mg (0.0000, 0.0000, 0.0000)
Pt (0.7500, 0.7500, 0.7500)
Cl (0.5000, 0.5000, 0.5000)

Results
N(E_F) ... 0.6 states/eV/f.u.

(ii)
## MgPtCl (PBE)

Data for crystalline MgPtCl at its relaxed geometry.

Cell: 10.8169 10.8169 3.9022 Å, 100.13 100.13 19.17°
Fractional positions:
Mg (0.0988, 0.0988, 0.0971)
Mg (0.9012, 0.9012, 0.9029)
Pt (0.0000, 0.0000, 0.5000)
Pt (0.5000, 0.5000, 0.0000)
Cl (0.3275, 0.3275, 0.8334)
Cl (0.6725, 0.6725, 0.1666)

Results
N(E_F) ... 0.8 states/eV/f.u.

Sorted by energy, starting with the most stable: (ii), (i).

(i)
## MgPtCl (PBE)

Data for crystalline MgPtCl at its relaxed geometry.

Cell: 4.4541 4.4541 3.0943 Å, 90.00 90.00 120.00°
Fractional positions:
Mg (0.0000, 0.0000, 0.0000)
Pt (0.3333, 0.6667, 0.4825)
Cl (0.6667, 0.3333, 0.5516)

Results
N(E_F) ... 0.7 states/eV/f.u.

(ii)
## MgPtCl (PBE)

Data for crystalline MgPtCl at its relaxed geometry.

Cell: 7.0078 7.0060 2.9773 Å, 77.77 77.70 24.53°
Fractional positions:
Mg (0.0000, 0.0000, 0.0000)
Pt (0.3625, 0.3625, 0.6375)
Cl (0.6120, 0.6120, 0.3880)

Results
N(E_F) ... 0.4 states/eV/f.u.

(iii)
## MgPtCl (PBE)

Data for crystalline MgPtCl at its relaxed geometry.

Cell: 3.7377 3.7377 10.4146 Å, 90.00 90.00 90.00°
Fractional positions:
Mg (0.0000, 0.0000, 0.1997)
Mg (0.0000, 0.0000, 0.8003)
Pt (0.0000, 0.5000, 0.9913)
Pt (0.5000, 0.0000, 0.0087)
Cl (0.0000, 0.5000, 0.3417)
Cl (0.5000, 0.0000, 0.6583)

Results
N(E_F) ... 0.8 states/eV/f.u.

Sorted by energy, starting with the most stable: (iii), (ii), (i).

(i)
## Rb2MgPtCl6 (PBE)

Data for crystalline Rb2MgPtCl6 at its relaxed geometry.

Cell: 7.1698 7.1698 7.1698 Å, 119.35 119.35 91.12°
Fractional positions:
Rb (0.2500, 0.7500, 0.5000)
Rb (0.7500, 0.2500, 0.5000)
Mg (0.0000, 0.0000, 0.0000)
Pt (0.5000, 0.5000, 0.0000)
Cl (0.2450, 0.2450, 0.4901)
Cl (0.2450, 0.7550, 0.0000)
Cl (0.2604, 0.2604, 0.0000)
Cl (0.7396, 0.7396, 0.0000)
Cl (0.7550, 0.2450, 0.0000)
Cl (0.7550, 0.7550, 0.5099)

Results
N(E_F) ... 3.1 states/eV/f.u.

(ii)
## Rb2MgPtCl6 (PBE)

Data for crystalline Rb2MgPtCl6 at its relaxed geometry.

Cell: 12.8155 12.8155 12.8155 Å, 32.69 32.69 32.69°
Fractional positions:
Rb (0.1230, 0.1230, 0.1230)
Rb (0.2948, 0.2948, 0.2948)
Rb (0.7052, 0.7052, 0.7052)
Rb (0.8770, 0.8770, 0.8770)
Mg (0.4142, 0.4142, 0.4142)
Mg (0.5858, 0.5858, 0.5858)
Pt (0.0000, 0.0000, 0.0000)
Pt (0.5000, 0.5000, 0.5000)
Cl (0.1369, 0.6160, 0.6160)
Cl (0.2075, 0.2075, 0.7077)
Cl (0.2075, 0.7077, 0.2075)
Cl (0.2923, 0.7925, 0.7925)
Cl (0.3840, 0.3840, 0.8631)
Cl (0.3840, 0.8631, 0.3840)
Cl (0.6160, 0.1369, 0.6160)
Cl (0.6160, 0.6160, 0.1369)
Cl (0.7077, 0.2075, 0.2075)
Cl (0.7925, 0.2923, 0.7925)
Cl (0.7925, 0.7925, 0.2923)
Cl (0.8631, 0.3840, 0.3840)

Results
N(E_F) ... 1.9 states/eV/f.u.

Sorted by energy, starting with the most stable: (ii), (i).

(i)
## MgPtS2Cl (PBE)

Data for crystalline MgPtS2Cl at its relaxed geometry.

Cell: 4.7698 4.7698 4.8050 Å, 90.00 90.00 90.00°
Fractional positions:
Mg (0.0000, 0.0000, 0.0000)
Pt (0.5000, 0.5000, 0.5000)
S (0.0000, 0.5000, 0.5000)
S (0.5000, 0.0000, 0.5000)
Cl (0.5000, 0.5000, 0.0000)

Results
N(E_F) ... 5.0 states/eV/f.u.

(ii)
## MgPtS2Cl (PBE)

Data for crystalline MgPtS2Cl at its relaxed geometry.

Cell: 4.8476 4.8476 4.4938 Å, 90.00 90.00 90.00°
Fractional positions:
Mg (0.0000, 0.0000, 0.0000)
Pt (0.5000, 0.5000, 0.5000)
S (0.0000, 0.5000, 0.0000)
S (0.5000, 0.0000, 0.0000)
Cl (0.0000, 0.0000, 0.5000)

Results
N(E_F) ... 6.7 states/eV/f.u.

Sorted by energy, starting with the most stable: (i), (ii).

(i)
## Pu2MgCl6 (PBE)

Data for crystalline Pu2MgCl6 at its relaxed geometry.

Cell: 6.5031 6.5031 12.1494 Å, 90.00 90.00 90.00°
Fractional positions:
Pu (0.0000, 0.0000, 0.1585)
Pu (0.0000, 0.0000, 0.8415)
Pu (0.5000, 0.5000, 0.3415)
Pu (0.5000, 0.5000, 0.6585)
Mg (0.0000, 0.0000, 0.5000)
Mg (0.5000, 0.5000, 0.0000)
Cl (0.1892, 0.1892, 0.3469)
Cl (0.1892, 0.1892, 0.6531)
Cl (0.2242, 0.2242, 0.0000)
Cl (0.2758, 0.7242, 0.5000)
Cl (0.3108, 0.6892, 0.1531)
Cl (0.3108, 0.6892, 0.8469)
Cl (0.6892, 0.3108, 0.1531)
Cl (0.6892, 0.3108, 0.8469)
Cl (0.7242, 0.2758, 0.5000)
Cl (0.7758, 0.7758, 0.0000)
Cl (0.8108, 0.8108, 0.3469)
Cl (0.8108, 0.8108, 0.6531)

Results
N(E_F) ... 30.8 states/eV/f.u.

(ii)
## Pu2MgCl6 (PBE)

Data for crystalline Pu2MgCl6 at its relaxed geometry.

Cell: 8.1808 8.1808 9.2244 Å, 105.05 105.05 26.88°
Fractional positions:
Pu (0.1617, 0.1617, 0.3575)
Pu (0.8383, 0.8383, 0.6425)
Mg (0.5000, 0.5000, 0.0000)
Cl (0.1103, 0.1103, 0.0306)
Cl (0.2129, 0.2129, 0.6692)
Cl (0.4762, 0.4762, 0.7149)
Cl (0.5238, 0.5238, 0.2851)
Cl (0.7871, 0.7871, 0.3308)
Cl (0.8897, 0.8897, 0.9694)

Results
N(E_F) ... 20.2 states/eV/f.u.

Sorted by energy, starting with the most stable: (ii), (i).

(i)
## PuMgCl6 (PBE)

Data for crystalline PuMgCl6 at its relaxed geometry.

Cell: 7.0337 7.0337 7.0337 Å, 55.44 55.44 55.44°
Fractional positions:
Pu (0.0000, 0.0000, 0.0000)
Mg (0.5000, 0.5000, 0.5000)
Cl (0.1120, 0.3959, 0.7477)
Cl (0.2523, 0.8880, 0.6041)
Cl (0.3959, 0.7477, 0.1120)
Cl (0.6041, 0.2523, 0.8880)
Cl (0.7477, 0.1120, 0.3959)
Cl (0.8880, 0.6041, 0.2523)

Results
N(E_F) ... 6.2 states/eV/f.u.

(ii)
## PuMgCl6 (PBE)

Data for crystalline PuMgCl6 at its relaxed geometry.

Cell: 7.1235 7.1235 6.4202 Å, 97.80 97.80 126.51°
Fractional positions:
Pu (0.0000, 0.0000, 0.0000)
Mg (0.5000, 0.5000, 0.5000)
Cl (0.1243, 0.3962, 0.2608)
Cl (0.2497, 0.2497, 0.7515)
Cl (0.3962, 0.1243, 0.2608)
Cl (0.6038, 0.8757, 0.7392)
Cl (0.7503, 0.7503, 0.2485)
Cl (0.8757, 0.6038, 0.7392)

Results
N(E_F) ... 7.7 states/eV/f.u.

Sorted by energy, starting with the most stable: (ii), (i).